Record 1
DFT (PBEsol) results for crystalline Li2SiSnS at its relaxed geometry.

The structure in POSCAR format:
```
Li2SiSnS
1.0
5.0568 0.0000 0.0000
0.0000 5.0568 0.0000
0.0000 0.0000 4.8527
Li Si Sn S
2 1 1 1
Cartesian
0.0000 2.5284 0.0000 Li
2.5284 0.0000 0.0000 Li
0.0000 0.0000 2.4264 Si
0.0000 0.0000 0.0000 Sn
2.5284 2.5284 2.4264 S
```

Computed properties:
DOS at the Fermi energy (states/eV/cell): 4.3
Uncorrected energy (eV per atom): -3.165
Uncorrected formation energy (eV per atom): 0.499

***

Record 2
DFT (PBEsol) results for crystalline HgSe2N at its relaxed geometry.

The structure in POSCAR format:
```
HgSe2N
1.0
0.0000 3.2662 3.2662
3.2662 0.0000 3.2662
3.2662 3.2662 0.0000
Hg Se N
1 2 1
Cartesian
0.0000 0.0000 0.0000 Hg
1.6331 1.6331 1.6331 Se
4.8993 4.8993 4.8993 Se
3.2662 3.2662 3.2662 N
```

Computed properties:
ΔE to the lowest computed polymorph (meV per atom): 696
DOS at the Fermi energy (states/eV/cell): 2.7
Uncorrected energy (eV per atom): -2.813
Uncorrected formation energy (eV per atom): 1.385

***

Record 3
DFT (PBEsol) results for crystalline Lu2CdAg at its relaxed geometry.

The structure in POSCAR format:
```
Lu2CdAg
1.0
0.0000 3.5486 3.5486
3.5486 0.0000 3.5486
3.5486 3.5486 0.0000
Lu Cd Ag
2 1 1
Cartesian
1.7743 1.7743 1.7743 Lu
5.3228 5.3228 5.3228 Lu
0.0000 0.0000 0.0000 Cd
3.5486 3.5486 3.5486 Ag
```

Computed properties:
Formation enthalpy at 0 K (eV per atom): -0.334
DOS at the Fermi energy (states/eV/cell): 2.5
Uncorrected energy (eV per atom): -3.897

***

Record 4
DFT (PBEsol) results for crystalline La2YSc at its relaxed geometry.

The structure in POSCAR format:
```
La2YSc
1.0
-1.8870 2.8464 5.7450
1.8870 -2.8464 5.7450
1.8870 2.8464 -5.7450
La Y Sc
2 1 1
Cartesian
0.0000 0.0000 0.0000 La
0.0000 2.8464 2.6408 La
0.0000 0.0000 5.3333 Y
1.8870 0.0000 2.6951 Sc
```

Computed properties:
ΔE to the lowest computed polymorph (meV per atom): 67
Formation enthalpy at 0 K (eV per atom): 0.095
DOS at the Fermi energy (states/eV/cell): 6.4
Uncorrected energy (eV per atom): -5.935

***

Record 5
DFT (PBEsol) results for crystalline LaCo2Si2 at its relaxed geometry.

The structure in POSCAR format:
```
LaCo2Si2
1.0
-1.9655 1.9655 5.0340
1.9655 -1.9655 5.0340
1.9655 1.9655 -5.0340
La Co Si
1 2 2
Cartesian
0.0000 0.0000 0.0000 La
1.9655 0.0000 2.5170 Co
0.0000 1.9655 2.5170 Co
0.0000 0.0000 3.6502 Si
0.0000 0.0000 6.4177 Si
```

Computed properties:
DOS at the Fermi energy (states/eV/cell): 3.5
Uncorrected energy (eV per atom): -7.245
Uncorrected formation energy (eV per atom): -0.782

***

Record 6
DFT (PBEsol) results for crystalline MgAg3 at its relaxed geometry.

The structure in POSCAR format:
```
MgAg3
1.0
2.8926 -4.9118 0.0000
2.8926 4.9118 0.0000
0.0000 0.0000 4.7973
Mg Ag
2 6
Cartesian
2.8926 3.9427 3.5980 Mg
2.8926 -3.9427 1.1993 Mg
1.4343 1.5491 3.5980 Ag
1.4343 -1.5491 1.1993 Ag
2.8926 0.8868 1.1993 Ag
2.8926 -0.8868 3.5980 Ag
4.3509 1.5491 3.5980 Ag
4.3509 -1.5491 1.1993 Ag
```

Computed properties:
ΔE to the lowest computed polymorph (meV per atom): 45
Formation enthalpy at 0 K (eV per atom): -0.131
DOS at the Fermi energy (states/eV/cell): 2.6
Uncorrected energy (eV per atom): -3.044

***

Record 7
DFT (PBEsol) results for crystalline CuPtAu2 at its relaxed geometry.

The structure in POSCAR format:
```
CuPtAu2
1.0
1.3998 0.8082 8.9306
-1.3998 0.8082 8.9306
0.0000 -1.6163 8.9306
Cu Pt Au
1 1 2
Cartesian
0.0000 0.0000 0.0000 Cu
0.0000 0.0000 13.3959 Pt
0.0000 0.0000 6.8313 Au
0.0000 0.0000 19.9605 Au
```

Computed properties:
ΔE to the lowest computed polymorph (meV per atom): 46
Formation enthalpy at 0 K (eV per atom): 0.002
DOS at the Fermi energy (states/eV/cell): 1.4
Uncorrected energy (eV per atom): -4.785

***

Record 8
DFT (PBEsol) results for crystalline Cr2InRe at its relaxed geometry.

The structure in POSCAR format:
```
Cr2InRe
1.0
2.8747 0.0000 0.0000
0.0000 3.6977 0.0000
0.0000 0.0000 5.5903
Cr In Re
2 1 1
Cartesian
0.0000 0.0000 1.0630 Cr
0.0000 0.0000 4.5273 Cr
1.4373 1.8489 2.7952 In
1.4373 1.8489 0.0000 Re
```

Computed properties:
Formation enthalpy at 0 K (eV per atom): 0.329
DOS at the Fermi energy (states/eV/cell): 3.5
Uncorrected energy (eV per atom): -8.871

***

Question: Among the records above, which one has the lowest DOS at the Fermi energy?
Answer: CuPtAu2